A relaxed K3V2SnF9 crystal, computed with PBE+U. Values from VASP.

Properties
The value obtained for the density of states at the Fermi level is 0.00 states/eV/cell. For the density, the calculation gives 3.33 Mg/m³. The total DFT energy (no corrections) comes out at -78.70 eV per cell.

Quantum ESPRESSO input file:
```
&SYSTEM
  ibrav = 0, nat = 15, ntyp = 4
/
ATOMIC_SPECIES
F 19.00 F.upf
V 50.94 V.upf
K 39.10 K.upf
Sn 118.71 Sn.upf
CELL_PARAMETERS angstrom
6.105 0.000 0.000
-3.052 5.287 0.000
0.000 0.000 7.856
ATOMIC_POSITIONS crystal
F 0.171 0.341 0.307
V 0.333 0.667 0.154
F 0.171 0.829 0.307
K 0.333 0.667 0.708
Sn 0.000 0.000 0.500
F 0.829 0.171 0.693
F 0.659 0.829 0.307
F 0.341 0.171 0.693
F 0.000 0.500 0.000
F 0.500 0.000 0.000
V 0.667 0.333 0.846
K 0.667 0.333 0.292
K 0.000 0.000 0.000
F 0.500 0.500 0.000
F 0.829 0.659 0.693
```